An optimized crystal structure of TiNb2Te4, computed with PBE-GGA.

Properties
energy	-44.4	eV/f.u.

```
data_TiNb2Te4
_cell_length_a 14.9716
_cell_length_b 3.6827
_cell_length_c 6.8364
_cell_angle_alpha 90.00
_cell_angle_beta 114.84
_cell_angle_gamma 90.00
_space_group_name_H-M_alt 'C 1 2/m 1'
_space_group_IT_number 12
loop_
_space_group_symop_operation_xyz
'x,y,z'
'-x,-y,-z'
'-x,y,-z'
'x,-y,z'
'x+1/2,y+1/2,z'
'-x+1/2,-y+1/2,-z'
'-x+1/2,y+1/2,-z'
'x+1/2,-y+1/2,z'
loop_
_atom_site_label
_atom_site_type_symbol
_atom_site_fract_x
_atom_site_fract_y
_atom_site_fract_z
_atom_site_occupancy
Ti1 Ti 0.0000 0.0000 0.0000 1
Nb1 Nb 0.2444 0.5000 0.6722 1
Te1 Te 0.0996 0.0000 0.4443 1
Te2 Te 0.1401 0.5000 0.9732 1
```